[1]
Hf2ReSn: relaxed, PBE.

final energy = -37.35 eV/cell

abc: 3.4638 3.4638 6.5254
angles: 90.00 90.00 90.00
Closest atoms and distances in Å follow each position.
Fractional coordinates of all 4 atoms:
Hf  0.0000  0.0000  0.7696  4 Re 2.87, 1 Hf 3.01, 4 Sn 3.02
Re  0.5000  0.5000  0.0000  8 Hf 2.87
Hf  0.0000  0.0000  0.2304  4 Re 2.87, 1 Hf 3.01, 4 Sn 3.02
Sn  0.5000  0.5000  0.5000  8 Hf 3.02, 2 Re 3.26

***

[2]
TlIrRh3: relaxed, PBE.

offset from the most stable computed form = 0.000 eV/atom

abc: 4.7772 4.7772 4.7772
angles: 90.00 90.00 90.00
Closest atoms and distances in Å follow each position.
Fractional coordinates of all 5 atoms:
Tl  0.5000  0.5000  0.5000  12 Rh 3.38
Rh  0.0000  0.0000  0.5000  2 Ir 2.39
Rh  0.0000  0.5000  0.0000  2 Ir 2.39
Rh  0.5000  0.0000  0.0000  2 Ir 2.39
Ir  0.0000  0.0000  0.0000  6 Rh 2.39

***

[3]
Al2TlSe: relaxed, PBE.

uncorrected formation energy = -121 meV/atom
offset from the most stable computed form = 0.000 eV/atom

abc: 9.1471 9.1471 9.1471
angles: 22.42 22.42 22.42
Closest atoms and distances in Å follow each position.
Fractional coordinates of all 4 atoms:
Al  0.9867  0.9867  0.9867  3 Al 2.92, 3 Tl 3.21
Se  0.5252  0.5252  0.5252  3 Al 2.46
Tl  0.7457  0.7457  0.7457  3 Al 3.21, 6 Tl 3.56
Al  0.2424  0.2424  0.2424  3 Se 2.46